Li8MnO4F2: relaxed, PBE with a Hubbard U.

Structure (POSCAR):
```
Li8MnO4F2
1.0
5.368 0.000 0.000
2.312 4.974 0.000
2.486 -0.460 10.564
Li Mn O F
16 2 8 4
direct
0.003 0.151 0.185 Li
0.064 0.511 0.659 Li
0.097 0.781 0.043 Li
0.228 0.069 0.500 Li
0.239 0.839 0.324 Li
0.330 0.228 0.806 Li
0.389 0.881 0.683 Li
0.402 0.445 0.159 Li
0.598 0.555 0.841 Li
0.611 0.119 0.317 Li
0.670 0.772 0.194 Li
0.761 0.161 0.676 Li
0.772 0.931 0.500 Li
0.903 0.219 0.957 Li
0.936 0.489 0.341 Li
0.997 0.849 0.815 Li
0.500 0.000 0.000 Mn
0.500 0.500 0.500 Mn
0.110 0.828 0.616 O
0.288 0.911 0.885 O
0.349 0.817 0.137 O
0.422 0.201 0.614 O
0.578 0.799 0.386 O
0.651 0.183 0.863 O
0.712 0.089 0.115 O
0.890 0.172 0.384 O
0.025 0.490 0.153 F
0.287 0.464 0.351 F
0.713 0.536 0.649 F
0.975 0.510 0.847 F
```

Volume = 9.4 Å³/atom
Electronic total energy = -5.002 eV/atom
Theoretical density = 2.501 g/cm3
Total magnetization = 2.0 μB/f.u.
Energy above the lowest structure with this stoichiometry = 122 meV per atom